Entry 1:
This record from OQMD via LeMat-Bulk describes a geometry-optimized HfTl2Ag structure. The functional is PBE.

space group: F-43m (216)
crystal system: cubic
E: -3.971 eV/atom
M_tot: 0.084 μB per atom

abc: 5.0678 5.0678 5.0678
angles: 60.00 60.00 60.00
Closest atoms and distances in Å follow each position.
Atoms (fractional coordinates):
Ag 0.7500 0.7500 0.7500  4 Hf 3.10, 4 Tl 3.10
Hf 0.0000 0.0000 0.0000  4 Ag 3.10, 4 Tl 3.10
Tl 0.2500 0.2500 0.2500  4 Tl 3.10, 4 Hf 3.10
Tl 0.5000 0.5000 0.5000  4 Tl 3.10, 4 Ag 3.10

---

Entry 2:
This record from OQMD via LeMat-Bulk describes a geometry-optimized ZrSiBi structure. The functional is PBE.

space group: F-43m (216)
crystal system: cubic
E: -5.798 eV/atom
M_tot: 0.001 μB per atom

abc: 4.7224 4.7224 4.7224
angles: 60.00 60.00 60.00
Closest atoms and distances in Å follow each position.
Atoms (fractional coordinates):
Bi 0.2500 0.2500 0.2500  4 Si 2.89
Si 0.0000 0.0000 0.0000  4 Bi 2.89, 4 Zr 2.89
Zr 0.7500 0.7500 0.7500  4 Si 2.89

---

- Among the records above, which one has the highest E?
  HfTl2Ag

---

- Among the records above, which one has the highest M_tot?
  HfTl2Ag